No. 1
Material: CsHg4Pb
Method: DFT, PBE
State: relaxed

The calculated total energy comes out at -1.03 eV per atom. For the energy above the most stable polymorph in this dataset, the calculation gives 59 meV per atom. The energy relative to the elements is -72.2 meV/atom. The space-group type is F-43m, No. 216.

Cell lengths 6.4281, 6.4281, 6.4281 Å; angles 60.00, 60.00, 60.00 degrees
Atoms (fractional coordinates):
Pb  0.2500  0.2500  0.2500
Cs  0.0000  0.0000  0.0000
Hg  0.6247  0.6247  0.1259
Hg  0.6247  0.1259  0.6247
Hg  0.6247  0.6247  0.6247
Hg  0.1259  0.6247  0.6247

---

No. 2
Material: La4Mg
Method: DFT, PBE
State: relaxed

The calculated total energy comes out at -4.28 eV per atom. For the energy above the most stable polymorph in this dataset, the calculation gives 15 meV per atom. The energy relative to the elements is -18.1 meV/atom. The space-group type is I4/m, No. 87.

Cell lengths 6.3141, 6.3141, 6.3141 Å; angles 99.36, 99.36, 132.44 degrees
Atoms (fractional coordinates):
La  0.8017  0.3908  0.1925
La  0.3908  0.1983  0.5890
La  0.1983  0.6092  0.8075
La  0.6092  0.8017  0.4110
Mg  0.0000  0.0000  0.0000

---

No. 3
Material: TbPaSn6
Method: DFT, PBE
State: relaxed

The calculated total energy comes out at -5.12 eV per atom. The energy relative to the elements is -356.6 meV/atom. The space-group type is P4/mmm, No. 123.

Cell lengths 4.6685, 4.6685, 9.3943 Å; angles 90.00, 90.00, 90.00 degrees
Atoms (fractional coordinates):
Tb  0.0000  0.0000  0.5000
Pa  0.0000  0.0000  0.0000
Sn  0.5000  0.5000  0.0000
Sn  0.5000  0.5000  0.5000
Sn  0.5000  0.0000  0.2478
Sn  0.5000  0.0000  0.7522
Sn  0.0000  0.5000  0.2478
Sn  0.0000  0.5000  0.7522

---

Number 3 is which compound?
TbPaSn6